[1]
Density functional theory data (SCAN) for a PBEsol-optimized structure of Cr7Cd3In2S16.

As for the space group: Pm, No. 6. The calculation puts the final energy at -16.6925 eV/atom.

Unit cell a=7.3394 b=7.1968 c=10.2120 alpha=90.00 beta=91.50 gamma=90.00
Atoms (fractional coordinates):
Cr (0.0000, 0.0000, 0.0000)
Cr (0.2469, 0.0000, 0.6307)
Cr (0.4983, 0.2463, 0.8810)
Cr (0.4983, 0.7537, 0.8810)
Cr (0.7478, 0.5000, 0.1253)
Cr (0.9964, 0.2482, 0.3737)
Cr (0.9964, 0.7518, 0.3737)
Cd (0.4898, 0.0000, 0.2560)
Cd (0.5019, 0.5000, 0.4997)
Cd (0.9904, 0.5000, 0.7577)
In (0.2428, 0.5000, 0.1226)
In (0.7520, 0.0000, 0.6313)
S (0.0162, 0.2304, 0.6073)
S (0.0162, 0.7696, 0.6073)
S (0.2072, 0.5000, 0.3715)
S (0.2145, 0.0000, 0.3940)
S (0.2686, 0.0000, 0.8732)
S (0.2890, 0.5000, 0.8760)
S (0.4821, 0.2261, 0.6490)
S (0.4821, 0.7739, 0.6490)
S (0.5137, 0.2733, 0.1112)
S (0.5137, 0.7267, 0.1112)
S (0.7130, 0.5000, 0.8926)
S (0.7208, 0.0000, 0.8876)
S (0.7804, 0.5000, 0.3593)
S (0.7853, 0.0000, 0.3796)
S (0.9787, 0.2594, 0.1358)
S (0.9787, 0.7406, 0.1358)

=====

[2]
Density functional theory data (SCAN) for a PBEsol-optimized structure of Cr2CdIr.

The formation energy from the elements is 0.3 eV per formula unit. As for the space group: F-43m, No. 216. The calculation puts the final energy at -34.5080 eV/atom.

Unit cell a=4.3558 b=4.3558 c=4.3558 alpha=60.00 beta=60.00 gamma=60.00
Atoms (fractional coordinates):
Cr (0.0000, 0.0000, 0.0000)
Cr (0.2500, 0.2500, 0.2500)
Cd (0.7500, 0.7500, 0.7500)
Ir (0.5000, 0.5000, 0.5000)

=====

[3]
Density functional theory data (SCAN) for a PBEsol-optimized structure of CrCd3Ir.

The formation energy from the elements is 7.5 eV per formula unit. As for the space group: Pm-3m, No. 221. The calculation puts the final energy at -34.6484 eV/atom.

Unit cell a=4.8744 b=4.8744 c=4.8744 alpha=90.00 beta=90.00 gamma=90.00
Atoms (fractional coordinates):
Cr (0.0000, 0.0000, 0.0000)
Cd (0.0000, 0.0000, 0.5000)
Cd (0.0000, 0.5000, 0.0000)
Cd (0.5000, 0.0000, 0.0000)
Ir (0.5000, 0.5000, 0.5000)

=====

[4]
Density functional theory data (SCAN) for a PBEsol-optimized structure of CrCdMoIr2.

The formation energy from the elements is 11.0 eV per formula unit. As for the space group: P4/mmm, No. 123. The calculation puts the final energy at -42.9852 eV/atom.

Unit cell a=4.7417 b=4.7417 c=4.5764 alpha=90.00 beta=90.00 gamma=90.00
Atoms (fractional coordinates):
Cr (0.0000, 0.0000, 0.0000)
Cd (0.0000, 0.0000, 0.5000)
Mo (0.5000, 0.5000, 0.0000)
Ir (0.0000, 0.5000, 0.5000)
Ir (0.5000, 0.0000, 0.5000)

=====

[5]
Density functional theory data (SCAN) for a PBEsol-optimized structure of SrCrCd2Ir.

The formation energy from the elements is 11.1 eV per formula unit. As for the space group: P4/mmm, No. 123. The calculation puts the final energy at -32.2899 eV/atom.

Unit cell a=5.3637 b=5.3637 c=5.0646 alpha=90.00 beta=90.00 gamma=90.00
Atoms (fractional coordinates):
Sr (0.0000, 0.0000, 0.0000)
Cr (0.0000, 0.0000, 0.5000)
Cd (0.0000, 0.5000, 0.0000)
Cd (0.5000, 0.0000, 0.0000)
Ir (0.5000, 0.5000, 0.5000)

=====

[6]
Density functional theory data (SCAN) for a PBEsol-optimized structure of K2CrCd.

The formation energy from the elements is 1.9 eV per formula unit. As for the space group: I4/mmm, No. 139. The calculation puts the final energy at -15.8959 eV/atom.

Unit cell a=6.3437 b=6.3437 c=6.3437 alpha=133.53 beta=133.53 gamma=67.83
Atoms (fractional coordinates):
K (0.2500, 0.7500, 0.5000)
K (0.7500, 0.2500, 0.5000)
Cr (0.0000, 0.0000, 0.0000)
Cd (0.5000, 0.5000, 0.0000)

=====

[7]
Density functional theory data (SCAN) for a PBEsol-optimized structure of KCrCd2.

The formation energy from the elements is 1.0 eV per formula unit. As for the space group: Pmm2, No. 25. The calculation puts the final energy at -21.6350 eV/atom.

Unit cell a=3.0739 b=4.2613 c=7.8529 alpha=90.00 beta=90.00 gamma=90.00
Atoms (fractional coordinates):
K (0.0000, 0.0000, 0.0000)
Cr (0.5000, 0.5000, 0.6733)
Cd (0.0000, 0.0000, 0.5324)
Cd (0.5000, 0.5000, 0.3112)

=====

[8]
Density functional theory data (SCAN) for a PBEsol-optimized structure of K2CrCd.

The formation energy from the elements is 2.3 eV per formula unit. As for the space group: R-3m, No. 166. The calculation puts the final energy at -15.7792 eV/atom.

Unit cell a=11.9848 b=11.9848 c=11.9848 alpha=17.22 beta=17.22 gamma=17.22
Atoms (fractional coordinates):
K (0.2492, 0.2492, 0.2492)
K (0.7508, 0.7508, 0.7508)
Cr (0.5000, 0.5000, 0.5000)
Cd (0.0000, 0.0000, 0.0000)